No. 1
MgZr2, optimized geometry, DFT PBE; DOS(E_F) = 4.4 states/eV/f.u.; formation energy = 0.73 eV per atom; symmetry = No. 225; total energy = -5.500 eV per atom; total magnetization = 0.00 μB/f.u.
1.0
-4.090 0.940 -2.238
-1.490 -2.830 -3.520
-3.771 -2.823 0.653
Zr Mg
2 1
Cartesian
-7.014 -3.535 -3.829
-2.338 -1.178 -1.276
0.000 0.000 0.000

---

No. 2
Mg2Zr, optimized geometry, DFT PBE; DOS(E_F) = 2.7 states/eV/f.u.; formation energy = 0.05 eV per atom; symmetry = No. 8; total energy = -3.862 eV per atom; total magnetization = 0.00 μB/f.u.
1.0
6.231 0.006 0.005
5.498 2.931 0.005
-9.780 -2.449 7.484
Mg Zr
4 2
Cartesian
1.444 0.361 2.853
8.640 2.164 0.355
4.528 1.134 2.569
-5.757 -1.442 5.358
1.989 0.498 7.459
-2.714 -0.680 5.140

---

No. 3
MgZr3, optimized geometry, DFT PBE; DOS(E_F) = 4.5 states/eV/f.u.; formation energy = 0.01 eV per atom; symmetry = No. 139; total energy = -6.796 eV per atom; total magnetization = 0.00 μB/f.u.
1.0
4.464 0.000 0.000
0.000 4.464 0.000
2.232 2.232 9.020
Zr Mg
6 2
Cartesian
4.464 4.464 2.252
4.464 2.232 4.510
0.000 2.232 0.000
2.232 4.464 4.510
2.232 0.000 0.000
2.232 2.232 6.768
4.464 4.464 6.776
2.232 2.232 2.244

---

No. 4
MgZr3, optimized geometry, DFT PBE; DOS(E_F) = 3.2 states/eV/f.u.; formation energy = 0.01 eV per atom; symmetry = No. 139; total energy = -6.798 eV per atom; total magnetization = 0.00 μB/f.u.
1.0
-1.514 -0.432 4.154
-4.026 -1.022 -1.574
3.907 -3.684 -1.334
Zr Mg
3 1
Cartesian
-2.770 -0.727 1.290
-0.189 -2.421 2.055
-1.445 -2.716 -0.809
0.000 0.000 0.000

---

No. 5
MgZr3, optimized geometry, DFT PBE; DOS(E_F) = 6.9 states/eV/f.u.; formation energy = 0.08 eV per atom; symmetry = No. 12; total energy = -6.731 eV per atom; total magnetization = 0.00 μB/f.u.
1.0
-0.689 2.648 4.821
-1.650 -0.326 5.282
7.595 -3.934 -9.552
Zr Mg
3 1
Cartesian
7.585 -3.924 -9.509
1.469 0.345 5.284
5.696 -2.951 -7.164
1.899 -0.984 -2.388

---

No. 6
MgZr, optimized geometry, DFT PBE; DOS(E_F) = 1.8 states/eV/f.u.; formation energy = 0.04 eV per atom; symmetry = No. 8; total energy = -5.034 eV per atom; total magnetization = 0.00 μB/f.u.
1.0
6.244 -0.010 0.002
5.444 3.058 0.002
-9.727 -2.536 7.075
Zr Mg
3 3
Cartesian
4.734 1.234 2.251
1.913 0.499 6.949
-5.843 -1.524 5.239
1.425 0.372 2.832
8.503 2.217 0.543
-2.572 -0.671 4.601